(1)
PmNiTe after structural relaxation. Source: Alexandria via LeMat-Bulk, functional PBE.

* energy above the lowest structure with this stoichiometry: 0.163 eV/atom
* SG: F-43m
* electronic total energy: -0.195 hartree per atom

a = 4.593 Å, b = 4.593 Å, c = 4.593 Å
α = 60.00°, β = 60.00°, γ = 60.00°
Fractional positions:
Ni 0.250 0.250 0.250
Te 0.000 0.000 0.000
Pm 0.500 0.500 0.500

=====

(2)
Pm4Ni2Te after structural relaxation. Source: Alexandria via LeMat-Bulk, functional PBE.

* SG: Imma
* electronic total energy: -0.193 hartree per atom

a = 8.255 Å, b = 8.255 Å, c = 8.258 Å
α = 119.84°, β = 106.55°, γ = 102.56°
Fractional positions:
Pm 0.891 0.179 0.289
Pm 0.359 0.571 0.212
Pm 0.891 0.602 0.711
Pm 0.812 0.122 0.689
Pm 0.433 0.122 0.311
Pm 0.359 0.148 0.788
Pm 0.438 0.628 0.811
Pm 0.817 0.628 0.189
Ni 0.625 0.375 0.750
Ni 0.625 0.875 0.250
Ni 0.625 0.375 0.250
Ni 0.125 0.375 0.750
Te 0.163 0.663 0.500
Te 0.087 0.087 0.000

=====

(3)
PmNi2Te after structural relaxation. Source: Alexandria via LeMat-Bulk, functional PBE.

* SG: P4/mmm
* electronic total energy: -0.188 hartree per atom

a = 3.921 Å, b = 4.380 Å, c = 4.380 Å
α = 90.00°, β = 90.00°, γ = 90.00°
Fractional positions:
Ni 0.000 0.000 0.500
Ni 0.000 0.500 0.000
Te 0.500 0.500 0.500
Pm 0.500 0.000 0.000

=====

(4)
PmNiTe after structural relaxation. Source: Alexandria via LeMat-Bulk, functional PBE.

* energy above the lowest structure with this stoichiometry: 0.124 eV/atom
* SG: P2_1/m
* electronic total energy: -0.196 hartree per atom

a = 4.971 Å, b = 7.365 Å, c = 9.472 Å
α = 121.76°, β = 90.00°, γ = 90.00°
Fractional positions:
Pm 0.250 0.317 0.561
Pm 0.250 0.817 0.061
Pm 0.750 0.683 0.439
Pm 0.750 0.183 0.939
Ni 0.500 0.750 0.750
Ni 0.000 0.250 0.250
Ni 0.500 0.250 0.250
Ni 0.000 0.750 0.750
Te 0.250 0.979 0.674
Te 0.250 0.479 0.174
Te 0.750 0.021 0.326
Te 0.750 0.521 0.826

=====

(5)
Pm12Ni3Te5 after structural relaxation. Source: Alexandria via LeMat-Bulk, functional PBE.

* SG: Ia-3d
* electronic total energy: -0.177 hartree per atom

a = 15.341 Å, b = 15.341 Å, c = 15.341 Å
α = 109.47°, β = 109.47°, γ = 109.47°
Fractional positions:
Ni 0.750 0.375 0.125
Ni 0.875 0.750 0.125
Ni 0.375 0.750 0.625
Ni 0.250 0.125 0.375
Ni 0.875 0.125 0.250
Ni 0.375 0.625 0.250
Ni 0.625 0.375 0.750
Ni 0.125 0.875 0.750
Ni 0.750 0.875 0.625
Ni 0.625 0.250 0.375
Ni 0.125 0.250 0.875
Ni 0.250 0.625 0.875
Te 0.125 0.375 0.250
Te 0.000 0.500 0.000
Te 0.000 0.000 0.000
Te 0.375 0.250 0.125
Te 0.500 0.000 0.500
Te 0.500 0.500 0.000
Te 0.125 0.750 0.375
Te 0.750 0.125 0.875
Te 0.750 0.625 0.375
Te 0.375 0.125 0.750
Te 0.625 0.875 0.250
Te 0.500 0.500 0.500
Te 0.500 0.000 0.000
Te 0.000 0.000 0.500
Te 0.250 0.375 0.625
Te 0.250 0.875 0.125
Te 0.000 0.500 0.500
Te 0.875 0.250 0.625
Te 0.625 0.750 0.875
Te 0.875 0.625 0.750
Pm 0.736 0.129 0.070
Pm 0.334 0.570 0.441
Pm 0.930 0.371 0.264
Pm 0.570 0.236 0.129
Pm 0.607 0.736 0.666
Pm 0.930 0.559 0.166
Pm 0.334 0.764 0.393
Pm 0.059 0.893 0.129
Pm 0.559 0.930 0.666
Pm 0.736 0.607 0.166
Pm 0.764 0.430 0.371
Pm 0.834 0.941 0.070
Pm 0.129 0.736 0.570
Pm 0.371 0.441 0.107
Pm 0.107 0.941 0.371
Pm 0.393 0.129 0.559
Pm 0.107 0.166 0.236
Pm 0.430 0.666 0.059
Pm 0.834 0.893 0.264
Pm 0.129 0.393 0.059
Pm 0.371 0.930 0.764
Pm 0.559 0.629 0.393
Pm 0.941 0.834 0.570
Pm 0.764 0.334 0.893
Pm 0.441 0.371 0.607
Pm 0.059 0.166 0.430
Pm 0.236 0.666 0.107
Pm 0.166 0.107 0.736
Pm 0.629 0.070 0.236
Pm 0.871 0.607 0.941
Pm 0.570 0.334 0.941
Pm 0.607 0.871 0.441
Pm 0.893 0.834 0.764
Pm 0.893 0.059 0.629
Pm 0.871 0.264 0.430
Pm 0.166 0.059 0.930
Pm 0.629 0.559 0.893
Pm 0.441 0.070 0.334
Pm 0.264 0.393 0.834
Pm 0.236 0.570 0.629
Pm 0.941 0.107 0.871
Pm 0.666 0.236 0.607
Pm 0.430 0.764 0.871
Pm 0.070 0.441 0.834
Pm 0.393 0.264 0.334
Pm 0.070 0.629 0.736
Pm 0.666 0.430 0.559
Pm 0.264 0.871 0.930

=====

(6)
Pm8Ni2Te after structural relaxation. Source: Alexandria via LeMat-Bulk, functional PBE.

* SG: C2/m
* electronic total energy: -0.185 hartree per atom

a = 5.685 Å, b = 7.987 Å, c = 7.987 Å
α = 115.39°, β = 96.59°, γ = 96.59°
Fractional positions:
Pm 0.909 0.920 0.665
Pm 0.909 0.665 0.920
Pm 0.302 0.608 0.608
Pm 0.500 0.753 0.247
Pm 0.500 0.247 0.753
Pm 0.698 0.392 0.392
Pm 0.091 0.335 0.080
Pm 0.091 0.080 0.335
Ni 0.000 0.299 0.701
Ni 0.000 0.701 0.299
Te 0.500 0.000 0.000

=====

Number 1: total magnetization 0.0 Bohr magnetons per cell. Number 2: total magnetization 0.0 Bohr magnetons per cell. Number 3: total magnetization 0.0 Bohr magnetons per cell. Number 4: total magnetization 0.0 Bohr magnetons per cell. Number 5: total magnetization 0.0 Bohr magnetons per cell. Number 6: total magnetization 0.0 Bohr magnetons per cell.